# 1
Compound: LiTcRh2
Source: the Alexandria database
Functional: GGA-PBE
Structure: optimized geometry

Energy of formation from the pure elements in eV/atom: 0.19
Energy relative to the lowest polymorph listed for this composition in meV per atom: 298

Cell and atoms, written as CIF:
```
data_LiTcRh2
_cell_length_a 2.7487
_cell_length_b 4.4131
_cell_length_c 4.5648
_cell_angle_alpha 90.00
_cell_angle_beta 90.00
_cell_angle_gamma 90.00
_space_group_name_H-M_alt 'P m m m'
_space_group_IT_number 47
loop_
_space_group_symop_operation_xyz
'x,y,z'
'-x,-y,-z'
'-x,-y,z'
'x,y,-z'
'x,-y,-z'
'-x,y,z'
'-x,y,-z'
'x,-y,z'
loop_
_atom_site_label
_atom_site_type_symbol
_atom_site_fract_x
_atom_site_fract_y
_atom_site_fract_z
Li1 Li 0.0000 0.0000 0.0000
Tc1 Tc 0.5000 0.0000 0.5000
Rh1 Rh 0.0000 0.5000 0.5000
Rh2 Rh 0.5000 0.5000 0.0000
```



# 2
Compound: LiTc2Rh
Source: the Alexandria database
Functional: GGA-PBE
Structure: optimized geometry

Energy of formation from the pure elements in eV/atom: 0.32
Energy relative to the lowest polymorph listed for this composition in meV per atom: 280

Cell and atoms, written as CIF:
```
data_LiTc2Rh
_cell_length_a 3.1761
_cell_length_b 3.1761
_cell_length_c 5.4172
_cell_angle_alpha 90.00
_cell_angle_beta 90.00
_cell_angle_gamma 90.00
_space_group_name_H-M_alt 'P 4/m m m'
_space_group_IT_number 123
_space_group_name_Hall '-P 4 2'
loop_
_atom_site_label
_atom_site_type_symbol
_atom_site_fract_x
_atom_site_fract_y
_atom_site_fract_z
Li1 Li 0.0000 0.0000 0.0000
Tc1 Tc 0.5000 0.5000 0.2129
Rh1 Rh 0.0000 0.0000 0.5000
```



# 3
Compound: LiTc2Rh2
Source: the Alexandria database
Functional: GGA-PBE
Structure: optimized geometry

Energy of formation from the pure elements in eV/atom: 0.13
Energy relative to the lowest polymorph listed for this composition in meV per atom: 67

Cell and atoms, written as CIF:
```
data_LiTc2Rh2
_cell_length_a 7.6004
_cell_length_b 7.6004
_cell_length_c 2.6881
_cell_angle_alpha 90.00
_cell_angle_beta 90.00
_cell_angle_gamma 90.00
_space_group_name_H-M_alt 'P 4/m b m'
_space_group_IT_number 127
_space_group_name_Hall '-P 4 2ab'
loop_
_atom_site_label
_atom_site_type_symbol
_atom_site_fract_x
_atom_site_fract_y
_atom_site_fract_z
Li1 Li 0.0000 0.0000 0.0000
Tc1 Tc 0.1713 0.3287 0.5000
Rh1 Rh 0.1235 0.6235 0.0000
```